# 1
An optimized crystal structure of VH2Pd3, computed with PBE.

abc: 2.812 6.365 7.459
angles: 89.96 79.22 77.34
Sites, in units of the cell vectors:
V  0.116  0.444  0.325
V  0.884  0.556  0.675
H  0.257  0.625  0.860
H  0.269  0.111  0.351
H  0.731  0.889  0.649
H  0.743  0.375  0.140
Pd  0.127  0.933  0.813
Pd  0.375  0.318  0.928
Pd  0.387  0.788  0.441
Pd  0.613  0.212  0.559
Pd  0.625  0.682  0.072
Pd  0.873  0.067  0.187

Summary:
Fermi-level density of states	4.19	states/eV/f.u.
DFT total energy	-64.4	eV for the cell shown
crystal system	triclinic
total moment	0.0	μB per cell



# 2
An optimized crystal structure of PmMgZrZn, computed with PBE.

abc: 5.064 5.064 5.064
angles: 60.00 60.00 60.00
Sites, in units of the cell vectors:
Pm  0.000  0.000  0.000
Mg  0.250  0.250  0.250
Zr  0.500  0.500  0.500
Zn  0.750  0.750  0.750

Summary:
Fermi-level density of states	5.36	states/eV/f.u.
DFT total energy	-16.4	eV for the cell shown
energy relative to the elements	-0.046	eV/atom
crystal system	cubic
total moment	0.0	μB per cell



# 3
An optimized crystal structure of CsSb2Pb2, computed with PBE.

abc: 7.648 7.648 7.648
angles: 137.77 137.77 61.25
Sites, in units of the cell vectors:
Cs  0.000  0.000  0.000
Sb  0.250  0.750  0.500
Sb  0.750  0.250  0.500
Pb  0.365  0.365  0.000
Pb  0.635  0.635  0.000

Summary:
Fermi-level density of states	1.84	states/eV/f.u.
energy above the lowest structure with this stoichiometry	36	meV per atom
DFT total energy	-17.3	eV for the cell shown
ΔE_f (raw)	-0.16	eV per atom
crystal system	tetragonal
total moment	0.0	μB per cell



# 4
An optimized crystal structure of CrNi2Ir, computed with PBE.

abc: 5.251 5.251 5.251
angles: 102.86 102.86 123.71
Sites, in units of the cell vectors:
Cr  0.000  0.000  0.000
Cr  0.750  0.250  0.500
Ni  0.111  0.625  0.986
Ni  0.375  0.361  0.486
Ni  0.639  0.125  0.014
Ni  0.875  0.889  0.514
Ir  0.250  0.750  0.500
Ir  0.500  0.500  0.000

Summary:
Fermi-level density of states	5.18	states/eV/f.u.
DFT total energy	-56.1	eV for the cell shown
energy relative to the elements	0.496	eV/atom
crystal system	tetragonal
total moment	4.3	μB per cell



# 5
An optimized crystal structure of PmAlAs2, computed with PBE.

abc: 4.697 4.697 3.843
angles: 90.00 90.00 90.00
Sites, in units of the cell vectors:
Pm  0.000  0.000  0.000
Al  0.500  0.500  0.000
As  0.000  0.500  0.500
As  0.500  0.000  0.500

Summary:
Fermi-level density of states	1.03	states/eV/f.u.
energy above the lowest structure with this stoichiometry	0	meV per atom
DFT total energy	-20.1	eV for the cell shown
energy relative to the elements	-0.581	eV/atom
crystal system	tetragonal
total moment	0.0	μB per cell



# 6
An optimized crystal structure of Y5ScCu4, computed with PBE.

abc: 3.472 3.472 18.771
angles: 90.00 90.00 90.00
Sites, in units of the cell vectors:
Y  0.000  0.000  0.000
Y  0.000  0.000  0.187
Y  0.000  0.000  0.373
Y  0.000  0.000  0.627
Y  0.000  0.000  0.813
Sc  0.500  0.500  0.500
Cu  0.500  0.500  0.093
Cu  0.500  0.500  0.280
Cu  0.500  0.500  0.720
Cu  0.500  0.500  0.907

Summary:
Fermi-level density of states	8.99	states/eV/f.u.
DFT total energy	-56.8	eV for the cell shown
energy relative to the elements	-0.178	eV/atom
crystal system	tetragonal
total moment	0.0	μB per cell



# 7
An optimized crystal structure of Pr4CdIr2, computed with PBE.

abc: 10.758 10.758 10.758
angles: 25.56 25.56 25.56
Sites, in units of the cell vectors:
Pr  0.110  0.110  0.110
Pr  0.298  0.298  0.298
Pr  0.702  0.702  0.702
Pr  0.890  0.890  0.890
Cd  0.500  0.500  0.500
Ir  0.404  0.404  0.404
Ir  0.596  0.596  0.596

Summary:
Fermi-level density of states	6.37	states/eV/f.u.
energy above the lowest structure with this stoichiometry	0	meV per atom
DFT total energy	-40.9	eV for the cell shown
energy relative to the elements	-0.447	eV/atom
crystal system	trigonal
total moment	0.0	μB per cell



# 8
An optimized crystal structure of MnSi2Au, computed with PBE.

abc: 8.176 8.176 8.176
angles: 20.11 20.11 20.11
Sites, in units of the cell vectors:
Mn  0.000  0.000  0.000
Si  0.262  0.262  0.262
Si  0.738  0.738  0.738
Au  0.500  0.500  0.500

Summary:
Fermi-level density of states	2.50	states/eV/f.u.
energy above the lowest structure with this stoichiometry	184	meV per atom
DFT total energy	-23.1	eV for the cell shown
ΔE_f (raw)	0.04	eV per atom
crystal system	trigonal
total moment	0.9	μB per cell



# 9
An optimized crystal structure of La2TeRu, computed with PBE.

abc: 4.417 4.417 6.531
angles: 90.00 90.00 90.00
Sites, in units of the cell vectors:
La  0.000  0.000  0.000
La  0.500  0.500  0.390
Te  0.500  0.500  0.884
Ru  0.000  0.000  0.364

Summary:
Fermi-level density of states	1.09	states/eV/f.u.
energy above the lowest structure with this stoichiometry	22	meV per atom
DFT total energy	-25.3	eV for the cell shown
ΔE_f (raw)	-0.76	eV per atom
crystal system	tetragonal
total moment	0.0	μB per cell



# 10
An optimized crystal structure of CeMg2Ga2Ir, computed with PBE.

abc: 6.599 6.599 6.599
angles: 135.17 135.17 65.26
Sites, in units of the cell vectors:
Ce  0.000  0.000  0.000
Mg  0.250  0.750  0.500
Mg  0.750  0.250  0.500
Ga  0.287  0.287  0.000
Ga  0.713  0.713  0.000
Ir  0.500  0.500  0.000

Summary:
Fermi-level density of states	8.10	states/eV/f.u.
DFT total energy	-23.1	eV for the cell shown
energy relative to the elements	0.149	eV/atom
crystal system	tetragonal
total moment	1.0	μB per cell



# 11
An optimized crystal structure of Dy2TiZn2Pd5, computed with PBE.

abc: 9.743 9.743 3.729
angles: 90.00 90.00 90.00
Sites, in units of the cell vectors:
Dy  0.175  0.325  0.000
Dy  0.325  0.825  0.000
Dy  0.675  0.175  0.000
Dy  0.825  0.675  0.000
Ti  0.000  0.000  0.000
Ti  0.500  0.500  0.000
Zn  0.123  0.623  0.000
Zn  0.377  0.123  0.000
Zn  0.623  0.877  0.000
Zn  0.877  0.377  0.000
Pd  0.000  0.500  0.500
Pd  0.063  0.800  0.500
Pd  0.200  0.063  0.500
Pd  0.300  0.563  0.500
Pd  0.437  0.300  0.500
Pd  0.500  0.000  0.500
Pd  0.563  0.700  0.500
Pd  0.700  0.437  0.500
Pd  0.800  0.937  0.500
Pd  0.937  0.200  0.500

Summary:
Fermi-level density of states	5.95	states/eV/f.u.
DFT total energy	-104.9	eV for the cell shown
energy relative to the elements	-0.685	eV/atom
crystal system	tetragonal
total moment	0.0	μB per cell



# 12
An optimized crystal structure of Ac2ScAl4Ag3, computed with PBE.

abc: 4.489 4.489 11.733
angles: 90.00 90.00 90.00
Sites, in units of the cell vectors:
Ac  0.000  0.500  0.243
Ac  0.500  0.000  0.757
Sc  0.000  0.000  0.500
Al  0.000  0.000  0.000
Al  0.000  0.500  0.650
Al  0.500  0.000  0.350
Al  0.500  0.500  0.000
Ag  0.000  0.500  0.876
Ag  0.500  0.000  0.124
Ag  0.500  0.500  0.500

Summary:
Fermi-level density of states	7.76	states/eV/f.u.
DFT total energy	-41.1	eV for the cell shown
energy relative to the elements	-0.307	eV/atom
crystal system	tetragonal
total moment	0.0	μB per cell



# 13
An optimized crystal structure of AcPm3S6, computed with PBE.

abc: 11.404 4.162 11.724
angles: 90.00 108.45 90.00
Sites, in units of the cell vectors:
Ac  0.052  0.250  0.194
Ac  0.948  0.750  0.806
Pm  0.162  0.250  0.588
Pm  0.321  0.750  0.997
Pm  0.447  0.250  0.332
Pm  0.553  0.750  0.668
Pm  0.679  0.250  0.003
Pm  0.838  0.750  0.412
S  0.083  0.750  0.407
S  0.120  0.250  0.962
S  0.196  0.750  0.748
S  0.270  0.750  0.229
S  0.394  0.250  0.556
S  0.478  0.250  0.109
S  0.522  0.750  0.891
S  0.606  0.750  0.444
S  0.730  0.250  0.771
S  0.804  0.250  0.252
S  0.880  0.750  0.038
S  0.917  0.250  0.593

Summary:
DFT total energy	-128.4	eV for the cell shown
ΔE_f (raw)	-2.11	eV per atom
crystal system	monoclinic
total moment	0.0	μB per cell



# 14
An optimized crystal structure of Rb2BaPbF6, computed with PBE.

abc: 6.775 6.981 11.754
angles: 90.00 124.84 90.00
Sites, in units of the cell vectors:
Rb  0.234  0.049  0.250
Rb  0.234  0.451  0.750
Rb  0.766  0.549  0.250
Rb  0.766  0.951  0.750
Ba  0.500  0.000  0.000
Ba  0.500  0.500  0.500
Pb  0.000  0.000  0.500
Pb  0.000  0.500  0.000
F  0.134  0.211  0.938
F  0.134  0.289  0.438
F  0.231  0.700  0.941
F  0.231  0.800  0.441
F  0.355  0.051  0.743
F  0.355  0.449  0.243
F  0.645  0.551  0.757
F  0.645  0.949  0.257
F  0.769  0.200  0.559
F  0.769  0.300  0.059
F  0.866  0.711  0.562
F  0.866  0.789  0.062

Summary:
Fermi-level density of states	0.00	states/eV/f.u.
energy above the lowest structure with this stoichiometry	0	meV per atom
DFT total energy	-96.3	eV for the cell shown
ΔE_f (raw)	-2.94	eV per atom
crystal system	monoclinic
total moment	0.0	μB per cell



# 15
An optimized crystal structure of RbCd2InRu, computed with PBE.

abc: 5.359 5.359 5.192
angles: 90.00 90.00 90.00
Sites, in units of the cell vectors:
Rb  0.000  0.000  0.000
Cd  0.000  0.500  0.500
Cd  0.500  0.000  0.500
In  0.500  0.500  0.000
Ru  0.500  0.500  0.500

Summary:
Fermi-level density of states	1.70	states/eV/f.u.
DFT total energy	-14.4	eV for the cell shown
energy relative to the elements	0.073	eV/atom
crystal system	tetragonal
total moment	0.0	μB per cell



# 16
An optimized crystal structure of Ba2SrAlGe2, computed with PBE.

abc: 8.972 8.972 8.972
angles: 127.16 72.86 133.68
Sites, in units of the cell vectors:
Ba  0.182  0.175  0.357
Ba  0.318  0.675  0.994
Ba  0.682  0.325  0.006
Ba  0.818  0.825  0.643
Sr  0.250  0.750  0.500
Sr  0.750  0.250  0.500
Al  0.250  0.250  0.000
Al  0.750  0.750  0.000
Ge  0.086  0.799  0.885
Ge  0.414  0.299  0.713
Ge  0.586  0.701  0.287
Ge  0.914  0.201  0.115

Summary:
Fermi-level density of states	3.23	states/eV/f.u.
DFT total energy	-42.2	eV for the cell shown
energy relative to the elements	-0.435	eV/atom
crystal system	orthorhombic
total moment	1.7	μB per cell



# 17
An optimized crystal structure of Cr3Pd13, computed with PBE.

abc: 7.847 5.546 5.546
angles: 88.00 90.00 90.00
Sites, in units of the cell vectors:
Cr  0.000  0.000  0.000
Cr  0.260  0.276  0.276
Cr  0.740  0.276  0.276
Pd  0.000  0.032  0.492
Pd  0.000  0.492  0.032
Pd  0.000  0.518  0.518
Pd  0.243  0.768  0.768
Pd  0.246  0.263  0.778
Pd  0.246  0.778  0.263
Pd  0.500  0.023  0.023
Pd  0.500  0.024  0.518
Pd  0.500  0.518  0.024
Pd  0.500  0.520  0.520
Pd  0.754  0.263  0.778
Pd  0.754  0.778  0.263
Pd  0.757  0.768  0.768

Summary:
Fermi-level density of states	23.74	states/eV/f.u.
DFT total energy	-97.1	eV for the cell shown
energy relative to the elements	-0.043	eV/atom
crystal system	orthorhombic
total moment	8.3	μB per cell



# 18
An optimized crystal structure of TlZn2Os, computed with PBE.

abc: 3.399 3.399 5.899
angles: 90.00 90.00 90.00
Sites, in units of the cell vectors:
Tl  0.000  0.000  0.000
Zn  0.000  0.000  0.518
Zn  0.500  0.500  0.284
Os  0.500  0.500  0.717

Summary:
Fermi-level density of states	2.70	states/eV/f.u.
energy above the lowest structure with this stoichiometry	116	meV per atom
DFT total energy	-14.2	eV for the cell shown
energy relative to the elements	0.487	eV/atom
crystal system	tetragonal
total moment	0.0	μB per cell



# 19
An optimized crystal structure of SrCaMo2, computed with PBE.

abc: 5.284 5.284 5.284
angles: 60.00 60.00 60.00
Sites, in units of the cell vectors:
Sr  0.000  0.000  0.000
Ca  0.500  0.500  0.500
Mo  0.250  0.250  0.250
Mo  0.750  0.750  0.750

Summary:
Fermi-level density of states	2.72	states/eV/f.u.
energy above the lowest structure with this stoichiometry	953	meV per atom
DFT total energy	-19.7	eV for the cell shown
energy relative to the elements	1.414	eV/atom
crystal system	cubic
total moment	6.1	μB per cell



# 20
An optimized crystal structure of TcSeO2, computed with PBE.

abc: 5.987 5.987 5.987
angles: 60.00 60.00 60.00
Sites, in units of the cell vectors:
Tc  0.125  0.125  0.125
Tc  0.875  0.875  0.875
Se  0.375  0.375  0.375
Se  0.625  0.625  0.625
O  0.000  0.000  0.000
O  0.000  0.000  0.500
O  0.000  0.500  0.000
O  0.500  0.000  0.000

Summary:
Fermi-level density of states	6.19	states/eV/f.u.
DFT total energy	-50.4	eV for the cell shown
ΔE_f (raw)	-0.36	eV per atom
crystal system	cubic
total moment	1.2	μB per cell



# 21
An optimized crystal structure of MgBeO2F, computed with PBE.

abc: 3.393 3.393 3.709
angles: 90.00 90.00 90.00
Sites, in units of the cell vectors:
Mg  0.000  0.000  0.000
Be  0.500  0.500  0.500
O  0.000  0.500  0.500
O  0.500  0.000  0.500
F  0.500  0.500  0.000

Summary:
Fermi-level density of states	1.73	states/eV/f.u.
DFT total energy	-27.1	eV for the cell shown
ΔE_f (raw)	-2.00	eV per atom
crystal system	tetragonal
total moment	0.4	μB per cell



# 22
An optimized crystal structure of LaYHo2, computed with PBE.

abc: 10.223 5.095 10.078
angles: 90.00 90.00 90.00
Sites, in units of the cell vectors:
La  0.127  0.250  0.000
La  0.373  0.750  0.500
La  0.627  0.250  0.500
La  0.873  0.750  0.000
Y  0.125  0.750  0.252
Y  0.375  0.250  0.752
Y  0.625  0.750  0.248
Y  0.875  0.250  0.748
Ho  0.121  0.250  0.500
Ho  0.125  0.750  0.748
Ho  0.375  0.250  0.248
Ho  0.379  0.750  0.000
Ho  0.621  0.250  0.000
Ho  0.625  0.750  0.752
Ho  0.875  0.250  0.252
Ho  0.879  0.750  0.500

Summary:
Fermi-level density of states	6.47	states/eV/f.u.
energy above the lowest structure with this stoichiometry	22	meV per atom
DFT total energy	-81.7	eV for the cell shown
energy relative to the elements	0.031	eV/atom
crystal system	orthorhombic
total moment	0.0	μB per cell



# 23
An optimized crystal structure of ZrSc3N3, computed with PBE.

abc: 7.434 7.434 4.558
angles: 90.00 90.00 120.00
Sites, in units of the cell vectors:
Zr  0.333  0.667  0.250
Zr  0.667  0.333  0.750
Sc  0.165  0.331  0.750
Sc  0.165  0.835  0.750
Sc  0.331  0.165  0.250
Sc  0.669  0.835  0.750
Sc  0.835  0.165  0.250
Sc  0.835  0.669  0.250
N  0.165  0.330  0.250
N  0.165  0.835  0.250
N  0.330  0.165  0.750
N  0.670  0.835  0.250
N  0.835  0.165  0.750
N  0.835  0.670  0.750

Summary:
Fermi-level density of states	4.02	states/eV/f.u.
energy above the lowest structure with this stoichiometry	206	meV per atom
DFT total energy	-124.9	eV for the cell shown
ΔE_f (raw)	-1.42	eV per atom
crystal system	hexagonal
total moment	0.0	μB per cell